*A*
Compound: FeCo2RuN
Source: the Alexandria database
Functional: PBE
Structure: optimized geometry

Magnetic moment = 6.46 μB/cell
Volume = 11.31 Å³/atom

POSCAR file:
```
FeCo2RuN
1.0
3.780 0.000 0.000
0.000 3.780 0.000
0.000 0.000 3.959
Fe Co Ru N
1 2 1 1
Cartesian
0.000 0.000 0.000
0.000 1.890 1.980
1.890 0.000 1.980
1.890 1.890 0.000
1.890 1.890 1.980
```


*B*
Compound: FeCo2RuN
Source: the Alexandria database
Functional: PBE
Structure: optimized geometry

Magnetic moment = 6.85 μB/cell
Volume = 10.95 Å³/atom

POSCAR file:
```
FeCo2RuN
1.0
3.767 0.000 0.000
0.000 3.767 0.000
0.000 0.000 3.860
Fe Co Ru N
1 2 1 1
Cartesian
0.000 0.000 0.000
0.000 1.883 1.930
1.883 0.000 1.930
1.883 1.883 0.000
0.000 0.000 1.930
```


Quick one: least stable of them? *B*


*A*
Compound: FeCoS2N
Source: the Alexandria database
Functional: PBE
Structure: optimized geometry

Magnetic moment = 0.02 μB/cell
Volume = 14.56 Å³/atom

POSCAR file:
```
FeCoS2N
1.0
4.665 0.000 0.000
0.000 4.665 0.000
0.000 0.000 3.345
Fe Co S N
1 1 2 1
Cartesian
0.000 0.000 0.000
2.333 2.333 1.673
0.000 2.333 1.673
2.333 0.000 1.673
2.333 2.333 0.000
```


*B*
Compound: FeCoS2N
Source: the Alexandria database
Functional: PBE
Structure: optimized geometry

Magnetic moment = 1.75 μB/cell
Volume = 14.28 Å³/atom

POSCAR file:
```
FeCoS2N
1.0
4.611 0.000 0.000
0.000 4.611 0.000
0.000 0.000 3.359
Fe Co S N
1 1 2 1
Cartesian
0.000 0.000 0.000
2.305 2.305 1.679
0.000 2.305 0.000
2.305 0.000 0.000
0.000 0.000 1.679
```


Quick one: least stable of them? *A*


*A*
Compound: FeCoTe2N
Source: the Alexandria database
Functional: PBE
Structure: optimized geometry

Magnetic moment = 1.43 μB/cell
Volume = 17.85 Å³/atom

POSCAR file:
```
FeCoTe2N
1.0
5.161 0.000 0.000
0.000 5.161 0.000
0.000 0.000 3.351
Fe Co Te N
1 1 2 1
Cartesian
0.000 0.000 0.000
2.580 2.580 1.675
0.000 2.580 0.000
2.580 0.000 0.000
0.000 0.000 1.675
```


*B*
Compound: FeCoTe2N
Source: the Alexandria database
Functional: PBE
Structure: optimized geometry

Magnetic moment = 0.04 μB/cell
Volume = 17.55 Å³/atom

POSCAR file:
```
FeCoTe2N
1.0
5.131 0.000 0.000
0.000 5.131 0.000
0.000 0.000 3.333
Fe Co Te N
1 1 2 1
Cartesian
0.000 0.000 0.000
2.566 2.566 1.667
0.000 2.566 1.667
2.566 0.000 1.667
2.566 2.566 0.000
```


Quick one: least stable of them? *B*


*A*
Compound: Na3FeCo
Source: the Alexandria database
Functional: PBE
Structure: optimized geometry

Magnetic moment = 4.35 μB/cell
Volume = 29.79 Å³/atom

POSCAR file:
```
Na3FeCo
1.0
5.301 0.000 0.000
0.000 5.301 0.000
0.000 0.000 5.301
Na Fe Co
3 1 1
Cartesian
0.000 0.000 2.650
0.000 2.650 0.000
2.650 0.000 0.000
2.650 2.650 2.650
0.000 0.000 0.000
```


*B*
Compound: Na3FeCo
Source: the Alexandria database
Functional: PBE
Structure: optimized geometry

Magnetic moment = 4.43 μB/cell
Volume = 30.09 Å³/atom

POSCAR file:
```
Na3FeCo
1.0
5.318 0.000 0.000
0.000 5.318 0.000
0.000 0.000 5.318
Na Fe Co
3 1 1
Cartesian
0.000 0.000 2.659
0.000 2.659 0.000
2.659 0.000 0.000
0.000 0.000 0.000
2.659 2.659 2.659
```


Quick one: least stable of them? *B*


*A*
Compound: NaFeCo
Source: the Alexandria database
Functional: PBE
Structure: optimized geometry

Magnetic moment = 8.56 μB/cell
Volume = 17.66 Å³/atom

POSCAR file:
```
NaFeCo
1.0
3.822 0.000 0.000
0.000 3.822 0.000
0.000 0.000 7.254
Na Fe Co
2 2 2
Cartesian
0.956 0.956 1.073
2.867 2.867 6.181
0.956 2.867 3.627
2.867 0.956 3.627
0.956 0.956 4.968
2.867 2.867 2.286
```


*B*
Compound: NaFeCo
Source: the Alexandria database
Functional: PBE
Structure: optimized geometry

Magnetic moment = 0.00 μB/cell
Volume = 15.16 Å³/atom

POSCAR file:
```
NaFeCo
1.0
-1.225 1.733 5.355
1.225 -1.733 5.355
1.225 1.733 -5.355
Na Fe Co
1 1 1
Cartesian
0.000 0.000 0.000
0.000 0.000 3.061
0.000 0.000 7.602
```


Quick one: least stable of them? *B*


*A*
Compound: NaFeCo
Source: the Alexandria database
Functional: PBE
Structure: optimized geometry

Magnetic moment = 0.00 μB/cell
Volume = 15.05 Å³/atom

POSCAR file:
```
NaFeCo
1.0
0.000 2.826 2.826
2.826 0.000 2.826
2.826 2.826 0.000
Na Fe Co
1 1 1
Cartesian
0.000 0.000 0.000
2.826 2.826 2.826
4.239 4.239 4.239
```


*B*
Compound: NaFeCo
Source: the Alexandria database
Functional: PBE
Structure: optimized geometry

Magnetic moment = 8.89 μB/cell
Volume = 14.56 Å³/atom

POSCAR file:
```
NaFeCo
1.0
4.481 0.000 0.000
-2.241 3.881 0.000
0.000 0.000 5.025
Na Fe Co
2 2 2
Cartesian
0.000 0.000 0.000
0.000 0.000 2.512
0.000 2.587 1.256
2.241 1.294 3.768
0.000 2.587 3.768
2.241 1.294 1.256
```


*C*
Compound: NaFeCo
Source: the Alexandria database
Functional: PBE
Structure: optimized geometry

Magnetic moment = 8.14 μB/cell
Volume = 17.72 Å³/atom

POSCAR file:
```
NaFeCo
1.0
2.655 0.000 0.000
-0.002 3.886 0.000
-0.921 -0.012 10.305
Na Fe Co
2 2 2
Cartesian
0.000 0.000 0.000
0.267 1.940 7.226
0.135 1.947 4.367
1.468 0.003 4.935
0.144 0.004 2.833
1.454 1.947 2.207
```


*D*
Compound: NaFeCo
Source: the Alexandria database
Functional: PBE
Structure: optimized geometry

Magnetic moment = 8.07 μB/cell
Volume = 17.62 Å³/atom

POSCAR file:
```
NaFeCo
1.0
2.650 0.000 0.000
0.000 3.839 0.000
-1.284 0.000 10.393
Na Fe Co
2 2 2
Cartesian
-0.014 0.960 3.636
1.381 2.879 6.757
0.009 0.960 0.778
1.358 2.879 9.615
0.038 0.960 8.974
1.329 2.879 1.418
```


Quick one: least stable of them? *A*


*A*
Compound: NaFeCo
Source: the Alexandria database
Functional: PBE
Structure: optimized geometry

Magnetic moment = 1.83 μB/cell
Volume = 15.38 Å³/atom

POSCAR file:
```
NaFeCo
1.0
5.508 -1.730 0.000
5.508 1.730 0.000
-1.240 0.000 4.843
Na Fe Co
2 2 2
Cartesian
0.000 0.000 0.000
-0.620 0.000 2.421
2.361 0.000 3.053
7.415 0.000 1.789
3.020 0.000 0.708
6.756 0.000 4.135
```


*B*
Compound: NaFeCo
Source: the Alexandria database
Functional: PBE
Structure: optimized geometry

Magnetic moment = 2.03 μB/cell
Volume = 15.84 Å³/atom

POSCAR file:
```
NaFeCo
1.0
4.166 0.000 0.000
-2.083 3.608 0.000
0.000 0.000 6.322
Na Fe Co
2 2 2
Cartesian
0.000 0.000 0.000
0.000 0.000 3.161
2.083 1.203 1.040
2.083 1.203 5.282
0.000 2.405 1.110
0.000 2.405 5.212
```


Quick one: least stable of them? *B*


*A*
Compound: Na2Fe2Co
Source: the Alexandria database
Functional: PBE
Structure: optimized geometry

Magnetic moment = 13.09 μB/cell
Volume = 17.87 Å³/atom

POSCAR file:
```
Na2Fe2Co
1.0
5.875 0.000 0.000
0.000 5.875 0.000
0.000 0.000 5.176
Na Fe Co
4 4 2
Cartesian
1.090 1.847 0.000
1.847 4.785 0.000
4.027 1.090 0.000
4.785 4.027 0.000
0.813 3.750 2.588
2.124 0.813 2.588
3.750 5.062 2.588
5.062 2.124 2.588
0.000 0.000 2.588
2.937 2.937 2.588
```


*B*
Compound: Na2Fe2Co
Source: the Alexandria database
Functional: PBE
Structure: optimized geometry

Magnetic moment = 7.59 μB/cell
Volume = 16.96 Å³/atom

POSCAR file:
```
Na2Fe2Co
1.0
-1.739 1.739 7.010
1.739 -1.739 7.010
1.739 1.739 -7.010
Na Fe Co
2 2 1
Cartesian
1.739 0.000 3.505
0.000 1.739 3.505
0.000 0.000 1.059
0.000 0.000 12.960
0.000 0.000 7.010
```


Quick one: least stable of them? *B*


*A*
Compound: NbFeCo3
Source: the Alexandria database
Functional: PBE
Structure: optimized geometry

Magnetic moment = 2.06 μB/cell
Volume = 16.78 Å³/atom

POSCAR file:
```
NbFeCo3
1.0
4.378 0.000 0.000
0.000 4.378 0.000
0.000 0.000 4.378
Nb Fe Co
1 1 3
Cartesian
0.000 0.000 0.000
2.189 2.189 2.189
0.000 0.000 2.189
0.000 2.189 0.000
2.189 0.000 0.000
```


*B*
Compound: NbFeCo3
Source: the Alexandria database
Functional: PBE
Structure: optimized geometry

Magnetic moment = 7.08 μB/cell
Volume = 14.81 Å³/atom

POSCAR file:
```
NbFeCo3
1.0
4.199 0.000 0.000
0.000 4.199 0.000
0.000 0.000 4.199
Nb Fe Co
1 1 3
Cartesian
0.000 0.000 0.000
2.100 2.100 2.100
0.000 2.100 2.100
2.100 0.000 2.100
2.100 2.100 0.000
```


*C*
Compound: NbFeCo3
Source: the Alexandria database
Functional: PBE
Structure: optimized geometry

Magnetic moment = 8.84 μB/cell
Volume = 13.11 Å³/atom

POSCAR file:
```
NbFeCo3
1.0
5.762 0.000 0.000
-2.881 4.990 0.000
0.000 0.000 4.558
Nb Fe Co
2 2 6
Cartesian
0.000 3.327 1.139
2.881 1.663 3.418
0.000 0.000 0.000
0.000 0.000 2.279
0.000 1.982 3.418
-1.165 3.999 3.418
1.716 0.991 1.139
1.165 3.999 3.418
4.046 0.991 1.139
2.881 3.008 1.139
```


Quick one: least stable of them? *A*


*A*
Compound: Nb2FeCo3
Source: the Alexandria database
Functional: PBE
Structure: optimized geometry

Magnetic moment = 6.79 μB/cell
Volume = 14.35 Å³/atom

POSCAR file:
```
Nb2FeCo3
1.0
5.521 -3.491 0.000
5.521 3.491 0.000
0.000 0.000 4.469
Nb Fe Co
4 2 6
Cartesian
4.013 2.210 3.352
7.029 2.210 3.352
4.013 -2.210 1.117
7.029 -2.210 1.117
5.521 0.470 1.117
5.521 -0.470 3.352
5.521 2.827 1.117
3.371 0.000 0.000
3.371 0.000 2.234
7.671 0.000 0.000
7.671 0.000 2.234
5.521 -2.827 3.352
```


*B*
Compound: Nb2FeCo3
Source: the Alexandria database
Functional: PBE
Structure: optimized geometry

Magnetic moment = 5.25 μB/cell
Volume = 12.90 Å³/atom

POSCAR file:
```
Nb2FeCo3
1.0
4.819 0.000 0.000
-2.409 4.173 0.000
0.000 0.000 7.697
Nb Fe Co
4 2 6
Cartesian
0.000 2.782 0.483
0.000 2.782 3.365
2.409 1.391 4.332
2.409 1.391 7.214
0.000 0.000 0.000
0.000 0.000 3.849
0.000 1.411 5.773
-1.187 3.467 5.773
1.222 0.706 1.924
1.187 3.467 5.773
3.596 0.706 1.924
2.409 2.762 1.924
```


Quick one: least stable of them? *A*


*A*
Compound: NbFeCo
Source: the Alexandria database
Functional: PBE
Structure: optimized geometry

Magnetic moment = 2.16 μB/cell
Volume = 14.51 Å³/atom

POSCAR file:
```
NbFeCo
1.0
1.616 0.933 4.814
-1.616 0.933 4.814
0.000 -1.866 4.814
Nb Fe Co
1 1 1
Cartesian
0.000 0.000 0.000
0.000 0.000 11.388
0.000 0.000 3.077
```


*B*
Compound: NbFeCo
Source: the Alexandria database
Functional: PBE
Structure: optimized geometry

Magnetic moment = 3.42 μB/cell
Volume = 13.64 Å³/atom

POSCAR file:
```
NbFeCo
1.0
-1.531 1.531 4.366
1.531 -1.531 4.366
1.531 1.531 -4.366
Nb Fe Co
1 1 1
Cartesian
0.000 0.000 0.000
0.000 0.000 5.903
0.000 0.000 2.826
```


Quick one: least stable of them? *A*


*A*
Compound: NbFeCo
Source: the Alexandria database
Functional: PBE
Structure: optimized geometry

Magnetic moment = 3.22 μB/cell
Volume = 13.00 Å³/atom

POSCAR file:
```
NbFeCo
1.0
-2.372 2.427 3.385
2.372 -2.427 3.385
2.372 2.427 -3.385
Nb Fe Co
2 2 2
Cartesian
0.000 1.214 0.830
2.372 1.214 2.555
1.186 1.214 -1.693
1.186 -1.214 1.693
2.372 0.000 0.000
0.000 0.000 3.385
```


*B*
Compound: NbFeCo
Source: the Alexandria database
Functional: PBE
Structure: optimized geometry

Magnetic moment = 0.77 μB/cell
Volume = 13.37 Å³/atom

POSCAR file:
```
NbFeCo
1.0
3.934 0.000 0.000
-1.967 3.407 0.000
0.000 0.000 2.994
Nb Fe Co
1 1 1
Cartesian
0.000 0.000 0.000
1.967 1.136 1.497
0.000 2.271 1.497
```


Quick one: least stable of them? *B*